A relaxed structure of Li4Au. Source: the Alexandria database, functional PBE-GGA.

Unit cell a=4.4918 b=4.4918 c=5.1436 alpha=112.73 beta=112.73 gamma=60.84
Last column: nearest neighbours and their distance in Å.
Fractional coordinates of all 5 atoms:
Li  0.1085  0.1085  0.3258  5 Li 2.67-2.96, 3 Au 2.71-2.75
Li  0.3034  0.3034  0.9050  7 Li 2.67-2.86, 1 Au 2.74
Li  0.6966  0.6966  0.0950  7 Li 2.67-2.86, 1 Au 2.74
Li  0.8915  0.8915  0.6742  5 Li 2.67-2.96, 3 Au 2.71-2.75
Au  0.5000  0.5000  0.5000  8 Li 2.71-2.75

As for the energy relative to the lowest polymorph listed for this composition: 0.00 eV/f.u. As for the uncorrected energy: -12.51 eV for the cell shown. For the density, the calculation gives 4.6 g cm⁻³. The calculation puts the formation enthalpy at 0 K at -0.3153 eV/atom.

***

A relaxed structure of Li12Au17. Source: the Alexandria database, functional PBE-GGA.

Unit cell a=8.4730 b=8.4730 c=8.4730 alpha=109.47 beta=109.47 gamma=109.47
Last column: nearest neighbours and their distance in Å.
Fractional coordinates of all 29 atoms:
Li  0.0000  0.1980  0.3780  3 Li 2.49-2.74, 3 Au 2.61-2.73
Li  0.0000  0.3780  0.1980  3 Li 2.49-2.74, 3 Au 2.61-2.73
Li  0.1800  0.8020  0.8020  3 Li 2.49-2.74, 3 Au 2.61-2.73
Li  0.1980  0.0000  0.3780  3 Li 2.49-2.74, 3 Au 2.61-2.73
Li  0.1980  0.3780  0.0000  3 Li 2.49-2.74, 3 Au 2.61-2.73
Li  0.3780  0.0000  0.1980  3 Li 2.49-2.74, 3 Au 2.61-2.73
Li  0.3780  0.1980  0.0000  3 Li 2.49-2.74, 3 Au 2.61-2.73
Li  0.6220  0.6220  0.8200  3 Li 2.49-2.74, 3 Au 2.61-2.73
Li  0.6220  0.8200  0.6220  3 Li 2.49-2.74, 3 Au 2.61-2.73
Li  0.8020  0.1800  0.8020  3 Li 2.49-2.74, 3 Au 2.61-2.73
Li  0.8020  0.8020  0.1800  3 Li 2.49-2.74, 3 Au 2.61-2.73
Li  0.8200  0.6220  0.6220  3 Li 2.49-2.74, 3 Au 2.61-2.73
Au  0.0000  0.0000  0.0000  4 Au 2.81, 12 Li 3.08
Au  0.0000  0.0000  0.6686  4 Au 2.81-2.85, 6 Li 2.87
Au  0.0000  0.4011  0.6877  5 Li 2.61-2.86, 1 Au 2.85
Au  0.0000  0.6686  0.0000  4 Au 2.81-2.85, 6 Li 2.87
Au  0.0000  0.6877  0.4011  5 Li 2.61-2.86, 1 Au 2.85
Au  0.2866  0.5989  0.5989  5 Li 2.61-2.86, 1 Au 2.85
Au  0.3123  0.3123  0.7134  5 Li 2.61-2.86, 1 Au 2.85
Au  0.3123  0.7134  0.3123  5 Li 2.61-2.86, 1 Au 2.85
Au  0.3314  0.3314  0.3314  4 Au 2.81-2.85, 6 Li 2.87
Au  0.4011  0.0000  0.6877  5 Li 2.61-2.86, 1 Au 2.85
Au  0.4011  0.6877  0.0000  5 Li 2.61-2.86, 1 Au 2.85
Au  0.5989  0.2866  0.5989  5 Li 2.61-2.86, 1 Au 2.85
Au  0.5989  0.5989  0.2866  5 Li 2.61-2.86, 1 Au 2.85
Au  0.6686  0.0000  0.0000  4 Au 2.81-2.85, 6 Li 2.87
Au  0.6877  0.0000  0.4011  5 Li 2.61-2.86, 1 Au 2.85
Au  0.6877  0.4011  0.0000  5 Li 2.61-2.86, 1 Au 2.85
Au  0.7134  0.3123  0.3123  5 Li 2.61-2.86, 1 Au 2.85

As for the uncorrected energy: -89.76 eV for the cell shown. For the density, the calculation gives 12.2 g cm⁻³. The calculation puts the formation enthalpy at 0 K at -0.3820 eV/atom.

***

A relaxed structure of LiAu6. Source: the Alexandria database, functional PBE-GGA.

Unit cell a=6.5080 b=6.5080 c=6.5080 alpha=109.47 beta=109.47 gamma=109.47
Last column: nearest neighbours and their distance in Å.
Fractional coordinates of all 7 atoms:
Li  0.0000  0.0000  0.0000  24 Au 4.20
Au  0.2500  0.5000  0.7500  4 Au 2.66
Au  0.2500  0.7500  0.5000  4 Au 2.66
Au  0.5000  0.2500  0.7500  4 Au 2.66
Au  0.5000  0.7500  0.2500  4 Au 2.66
Au  0.7500  0.2500  0.5000  4 Au 2.66
Au  0.7500  0.5000  0.2500  4 Au 2.66

As for the energy relative to the lowest polymorph listed for this composition: 3.96 eV/f.u. As for the uncorrected energy: -18.72 eV for the cell shown. For the density, the calculation gives 9.3 g cm⁻³. The calculation puts the formation enthalpy at 0 K at 0.4078 eV/atom.

***

A relaxed structure of Li2Au. Source: the Alexandria database, functional PBE-GGA.

Unit cell a=4.6906 b=4.6906 c=2.8425 alpha=103.85 beta=103.85 gamma=50.64
Last column: nearest neighbours and their distance in Å.
Fractional coordinates of all 3 atoms:
Li  0.1596  0.1596  0.1469  5 Li 2.61-2.84, 5 Au 2.75-2.81
Li  0.8404  0.8404  0.8531  5 Li 2.61-2.84, 5 Au 2.75-2.81
Au  0.5000  0.5000  0.5000  10 Li 2.75-2.81, 2 Au 2.84

As for the uncorrected energy: -8.49 eV for the cell shown. For the density, the calculation gives 7.5 g cm⁻³. The calculation puts the formation enthalpy at 0 K at -0.4618 eV/atom.

***

A relaxed structure of LiAu3. Source: the Alexandria database, functional PBE-GGA.

Unit cell a=5.0526 b=5.0526 c=5.0526 alpha=133.01 beta=133.01 gamma=68.63
Last column: nearest neighbours and their distance in Å.
Fractional coordinates of all 4 atoms:
Li  0.0000  0.0000  0.0000  12 Au 2.85-2.90
Au  0.2500  0.7500  0.5000  8 Au 2.85-2.90, 4 Li 2.90
Au  0.5000  0.5000  0.0000  4 Li 2.85, 8 Au 2.90
Au  0.7500  0.2500  0.5000  8 Au 2.85-2.90, 4 Li 2.90

As for the uncorrected energy: -13.15 eV for the cell shown. For the density, the calculation gives 14.7 g cm⁻³. The calculation puts the formation enthalpy at 0 K at -0.3517 eV/atom.

***

A relaxed structure of Li3Au2. Source: the Alexandria database, functional PBE-GGA.

Unit cell a=6.5462 b=6.5462 c=6.5462 alpha=116.47 beta=81.19 gamma=135.02
Last column: nearest neighbours and their distance in Å.
Fractional coordinates of all 10 atoms:
Li  0.0971  0.6327  0.7298  5 Au 2.56-2.69, 1 Li 2.66
Li  0.2500  0.2500  0.0000  2 Li 2.50, 4 Au 2.70
Li  0.4029  0.1327  0.5355  5 Au 2.56-2.69, 1 Li 2.66
Li  0.5971  0.8673  0.4645  5 Au 2.56-2.69, 1 Li 2.66
Li  0.7500  0.7500  0.0000  2 Li 2.50, 4 Au 2.70
Li  0.9029  0.3673  0.2702  5 Au 2.56-2.69, 1 Li 2.66
Au  0.1608  0.2574  0.4182  7 Li 2.56-2.70
Au  0.3392  0.7574  0.0967  7 Li 2.56-2.70
Au  0.6608  0.2426  0.9033  7 Li 2.56-2.70
Au  0.8392  0.7426  0.5818  7 Li 2.56-2.70

As for the energy relative to the lowest polymorph listed for this composition: 0.61 eV/f.u. As for the uncorrected energy: -28.28 eV for the cell shown. For the density, the calculation gives 8.0 g cm⁻³. The calculation puts the formation enthalpy at 0 K at -0.3692 eV/atom.